Ca2YMo: optimized geometry, GGA-PBE.

Values from the calculation:
The density of states at the Fermi level comes out at 5.8 states/eV per cell. Its total magnetization is 0.0 μB/f.u. The polymorph energy (0 for the lowest one) comes out at 0.262 eV/atom. As for the space-group type: Pmmm, No. 47.

Cell lengths 3.2132, 5.0915, 6.5968 Å; angles 90.00, 90.00, 90.00 degrees
Sites, in units of the cell vectors:
Y 0.5000 0.5000 0.7500
Ca 0.0000 0.0000 0.0245
Ca 0.0000 0.0000 0.4755
Mo 0.5000 0.5000 0.2500